No. 1
Here is an optimized crystal structure of Tb2Th2Hg from Alexandria via LeMat-Bulk. Energies are from PBE.

Cell: 11.557 11.557 11.557 Å, 161.97 161.97 25.60°
Fractional coordinates of all 5 atoms:
Tb: 0.087 0.087 0.000
Tb: 0.913 0.913 0.000
Th: 0.303 0.303 0.000
Th: 0.697 0.697 0.000
Hg: 0.500 0.500 0.000

Summary:
For the density of states at the Fermi level, the calculation gives 7.8 states/eV/cell. As for the space-group type: I4/mmm. The value obtained for the total magnetization is 0.0 μB per formula unit. As for the crystal system: tetragonal. The value obtained for the total energy is -5.078 eV/atom.

***

No. 2
Here is an optimized crystal structure of TmGe2Pt from Alexandria via LeMat-Bulk. Energies are from PBE.

Cell: 9.546 9.546 9.546 Å, 153.91 125.52 61.37°
Fractional coordinates of all 16 atoms:
Tm: 0.200 0.200 0.000
Tm: 0.235 0.000 0.235
Tm: 0.765 0.000 0.765
Tm: 0.800 0.800 0.000
Ge: 0.074 0.574 0.500
Ge: 0.150 0.799 0.350
Ge: 0.427 0.427 0.000
Ge: 0.449 0.799 0.650
Ge: 0.551 0.201 0.350
Ge: 0.573 0.573 0.000
Ge: 0.850 0.201 0.650
Ge: 0.926 0.426 0.500
Pt: 0.102 0.353 0.750
Pt: 0.397 0.647 0.750
Pt: 0.603 0.353 0.250
Pt: 0.898 0.647 0.250

Summary:
For the density of states at the Fermi level, the calculation gives 5.1 states/eV/cell. As for the space-group type: Immm. The value obtained for the total magnetization is 0.0 μB per formula unit. As for the crystal system: orthorhombic. The value obtained for the total energy is -5.768 eV/atom.

***

No. 3
Here is an optimized crystal structure of KZn2Bi2 from Alexandria via LeMat-Bulk. Energies are from PBE.

Cell: 5.054 5.054 11.481 Å, 90.00 90.00 90.00°
Fractional coordinates of all 10 atoms:
K: 0.250 0.250 0.242
K: 0.750 0.750 0.758
Zn: 0.250 0.250 0.632
Zn: 0.250 0.750 0.000
Zn: 0.750 0.250 0.000
Zn: 0.750 0.750 0.368
Bi: 0.250 0.250 0.874
Bi: 0.250 0.750 0.500
Bi: 0.750 0.250 0.500
Bi: 0.750 0.750 0.126

Summary:
For the density of states at the Fermi level, the calculation gives 2.8 states/eV/cell. As for the space-group type: P4/nmm. The value obtained for the total magnetization is 0.0 μB per formula unit. As for the crystal system: tetragonal. The value obtained for the total energy is -2.434 eV/atom.

***

No. 4
Here is an optimized crystal structure of BaSrCa2I8 from Alexandria via LeMat-Bulk. Energies are from PBE.

Cell: 7.525 9.755 7.791 Å, 90.00 90.30 90.00°
Fractional coordinates of all 12 atoms:
Ba: 0.000 0.000 0.000
Sr: 0.000 0.500 0.000
Ca: 0.500 0.253 0.500
Ca: 0.500 0.747 0.500
I: 0.250 0.262 0.172
I: 0.250 0.738 0.172
I: 0.274 0.500 0.658
I: 0.280 0.000 0.646
I: 0.720 0.000 0.354
I: 0.726 0.500 0.342
I: 0.750 0.262 0.828
I: 0.750 0.738 0.828

Summary:
For the density of states at the Fermi level, the calculation gives 0.0 states/eV/cell. As for the space-group type: P2/m. The value obtained for the total magnetization is 0.0 μB per formula unit. As for the crystal system: monoclinic. The value obtained for the total energy is -3.307 eV/atom. As for the uncorrected formation energy: -1.640 eV/atom.